(1)
Material: DyBeCoGe2
Method: DFT, PBE
State: optimized geometry

a = 5.8251 Å, b = 5.8251 Å, c = 5.8251 Å
α = 140.81°, β = 140.81°, γ = 56.62°
Closest atoms and distances in Å follow each position.
Atoms (fractional coordinates):
Dy (0.0000, 0.0000, 0.0000)  8 Ge 3.05, 4 Co 3.22, 4 Be 3.22
Be (0.2500, 0.7500, 0.5000)  4 Ge 2.34
Co (0.7500, 0.2500, 0.5000)  4 Ge 2.34
Ge (0.3750, 0.3750, 0.0000)  2 Co 2.34, 2 Be 2.34, 1 Ge 2.56
Ge (0.6250, 0.6250, 0.0000)  2 Co 2.34, 2 Be 2.34, 1 Ge 2.56

Values from the calculation:
As for the space group: I-4m2, No. 119. The value obtained for the density of states at the Fermi level is 3.5 states/eV/cell. The value obtained for the formation energy from the elements is -0.498 eV/atom.

(2)
Material: PaSiSb
Method: DFT, PBE
State: optimized geometry

a = 6.1790 Å, b = 6.1790 Å, c = 13.5237 Å
α = 90.00°, β = 90.00°, γ = 120.00°
Closest atoms and distances in Å follow each position.
Atoms (fractional coordinates):
Pa (0.0000, 0.5000, 0.3659)  4 Si 2.83-2.93, 2 Sb 3.12
Pa (0.0000, 0.5000, 0.9674)  4 Si 2.83-2.93, 2 Sb 3.12
Pa (0.5000, 0.0000, 0.3007)  4 Si 2.83-2.93, 2 Sb 3.12
Pa (0.5000, 0.0000, 0.6993)  4 Si 2.83-2.93, 2 Sb 3.12
Pa (0.5000, 0.5000, 0.0326)  4 Si 2.83-2.93, 2 Sb 3.12
Pa (0.5000, 0.5000, 0.6341)  4 Si 2.83-2.93, 2 Sb 3.12
Si (0.2155, 0.6077, 0.1667)  1 Si 2.31
Si (0.3923, 0.6077, 0.8333)  1 Si 2.31
Si (0.3923, 0.7845, 0.5000)  1 Si 2.31
Si (0.6077, 0.2155, 0.5000)  1 Si 2.31
Si (0.6077, 0.3923, 0.8333)  1 Si 2.31
Si (0.7845, 0.3923, 0.1667)  1 Si 2.31
Sb (0.0000, 0.0000, 0.1667)  4 Si 3.30, 4 Pa 3.58
Sb (0.0000, 0.0000, 0.5000)  4 Si 3.30, 4 Pa 3.58
Sb (0.0000, 0.0000, 0.8333)  4 Si 3.30, 4 Pa 3.58
Sb (0.0000, 0.5000, 0.6667)  4 Pa 3.12, 4 Si 3.13
Sb (0.5000, 0.0000, 0.0000)  4 Pa 3.12, 4 Si 3.13
Sb (0.5000, 0.5000, 0.3333)  4 Pa 3.12, 4 Si 3.13

Values from the calculation:
Its excess energy over the best structure of this formula in the dataset is 410 meV/atom. As for the space group: P6_222, No. 180. The value obtained for the density of states at the Fermi level is 15.0 states/eV/cell. The value obtained for the uncorrected formation energy is -12 meV per atom.

(3)
Material: Cs2Zr2CuS6
Method: DFT, PBE
State: optimized geometry

a = 6.5813 Å, b = 6.5813 Å, c = 8.5104 Å
α = 97.14°, β = 97.14°, γ = 121.63°
Closest atoms and distances in Å follow each position.
Atoms (fractional coordinates):
Cs (0.1606, 0.8394, 0.0000)  6 S 3.43-3.49, 3 Cs 3.69-3.81
Cs (0.8394, 0.1606, 0.0000)  6 S 3.43-3.49, 3 Cs 3.69-3.81
Zr (0.3306, 0.6694, 0.5000)  6 S 2.56-2.63
Zr (0.6694, 0.3306, 0.5000)  6 S 2.56-2.63
Cu (0.0000, 0.0000, 0.5000)  2 S 2.38
S (0.0623, 0.4050, 0.6778)  2 Zr 2.56-2.59, 1 Cu 2.69
S (0.2580, 0.2580, 0.3429)  1 Cu 2.38, 2 Zr 2.63
S (0.4050, 0.0623, 0.6778)  2 Zr 2.56-2.59, 1 Cu 2.69
S (0.5950, 0.9377, 0.3222)  2 Zr 2.56-2.59, 1 Cu 2.69
S (0.7420, 0.7420, 0.6571)  1 Cu 2.38, 2 Zr 2.63
S (0.9377, 0.5950, 0.3222)  2 Zr 2.56-2.59, 1 Cu 2.69

Values from the calculation:
As for the space group: C2/m, No. 12. The value obtained for the density of states at the Fermi level is 4.1 states/eV/cell. The value obtained for the uncorrected formation energy is -1173 meV per atom.

(4)
Material: GdYHoEr
Method: DFT, PBE
State: optimized geometry

a = 5.6586 Å, b = 5.6586 Å, c = 5.6586 Å
α = 60.00°, β = 60.00°, γ = 60.00°
Closest atoms and distances in Å follow each position.
Atoms (fractional coordinates):
Gd (0.0000, 0.0000, 0.0000)  4 Ho 3.47, 4 Er 3.47
Y (0.5000, 0.5000, 0.5000)  4 Ho 3.47, 4 Er 3.47
Ho (0.2500, 0.2500, 0.2500)  4 Gd 3.47, 4 Y 3.47
Er (0.7500, 0.7500, 0.7500)  4 Gd 3.47, 4 Y 3.47

Values from the calculation:
As for the space group: F-43m, No. 216. The value obtained for the density of states at the Fermi level is 8.3 states/eV/cell. The value obtained for the formation energy from the elements is 0.120 eV/atom.

Mass density: 7.97 8.49 3.85 7.50 (Mg/m³)
Size of the total moment: 0.3 0.0 1.0 8.7 (μB per cell)
Calculated volume: 78.3 74.5 303.5 128.1 (Å³/f.u.)